#w
An optimized crystal structure of SrNdCd, computed with GGA-PBE.

Unit cell a=3.9020 b=3.9020 c=7.5259 alpha=105.02 beta=105.02 gamma=90.00
With the nearest neighbours (Å) after each atom.
Sites, in units of the cell vectors:
Sr (0.0201, 0.0201, 0.0402)  4 Cd 3.53, 4 Sr 3.90
Nd (0.3028, 0.3028, 0.6056)  4 Cd 3.27
Cd (0.6771, 0.6771, 0.3541)  4 Nd 3.27, 4 Sr 3.53

Values from the calculation:
Magnetization: 0.08 μB/atom
Crystal system: tetragonal
Mass density: 5.362 Mg/m³

#x
An optimized crystal structure of SrNdCd, computed with GGA-PBE.

Unit cell a=3.9990 b=5.5237 c=5.5237 alpha=120.00 beta=90.00 gamma=90.00
With the nearest neighbours (Å) after each atom.
Sites, in units of the cell vectors:
Sr (0.6334, 0.6667, 0.3333)  3 Cd 3.49, 6 Nd 3.67-3.86
Nd (0.0874, 0.0000, 0.0000)  3 Cd 3.28, 3 Sr 3.67
Cd (0.2792, 0.3333, 0.6667)  3 Nd 3.28, 3 Sr 3.49

Values from the calculation:
Magnetization: 0.00 μB/atom
Crystal system: trigonal
Mass density: 5.410 Mg/m³

Least stable: #x

#w
An optimized crystal structure of Sr2NdCd, computed with GGA-PBE.

Unit cell a=3.8589 b=3.8589 c=10.2776 alpha=90.00 beta=90.00 gamma=90.00
With the nearest neighbours (Å) after each atom.
Sites, in units of the cell vectors:
Sr (0.0000, 0.0000, 0.7883)  4 Cd 3.49, 4 Sr 3.86
Sr (0.0000, 0.0000, 0.2117)  4 Cd 3.49, 4 Sr 3.86
Nd (0.5000, 0.5000, 0.5000)  4 Nd 3.86, 8 Sr 4.03
Cd (0.5000, 0.5000, 0.0000)  8 Sr 3.49, 4 Cd 3.86

Values from the calculation:
Magnetization: 0.00 μB/atom
Crystal system: tetragonal
Mass density: 4.686 Mg/m³

#x
An optimized crystal structure of Sr2NdCd, computed with GGA-PBE.

Unit cell a=3.9948 b=3.9948 c=11.7755 alpha=80.23 beta=80.23 gamma=60.00
With the nearest neighbours (Å) after each atom.
Sites, in units of the cell vectors:
Sr (0.0745, 0.0745, 0.7764)  3 Cd 3.47
Sr (0.2586, 0.2586, 0.2241)  3 Cd 3.46
Nd (0.5005, 0.5005, 0.4985)  6 Sr 3.92-3.95, 6 Nd 3.99
Cd (0.6663, 0.6663, 0.0011)  6 Sr 3.46-3.47

Values from the calculation:
Magnetization: 0.01 μB/atom
Crystal system: trigonal
Mass density: 4.494 Mg/m³

#y
An optimized crystal structure of Sr2NdCd, computed with GGA-PBE.

Unit cell a=3.8486 b=3.8486 c=12.8080 alpha=81.36 beta=81.36 gamma=60.00
With the nearest neighbours (Å) after each atom.
Sites, in units of the cell vectors:
Sr (0.0972, 0.0972, 0.7084)  3 Cd 3.44, 1 Nd 3.68, 6 Sr 3.85
Sr (0.9028, 0.9028, 0.2916)  3 Cd 3.44, 1 Nd 3.68, 6 Sr 3.85
Nd (0.0000, 0.0000, 0.0000)  2 Sr 3.68, 6 Nd 3.85
Cd (0.5000, 0.5000, 0.5000)  6 Sr 3.44, 6 Cd 3.85

Values from the calculation:
Magnetization: 0.18 μB/atom
Crystal system: trigonal
Mass density: 4.432 Mg/m³

Least stable: #y

#w
An optimized crystal structure of SrNd2Cd, computed with GGA-PBE.

Unit cell a=5.1931 b=5.0927 c=5.0927 alpha=90.00 beta=90.00 gamma=90.00
With the nearest neighbours (Å) after each atom.
Sites, in units of the cell vectors:
Sr (0.5000, 0.5000, 0.5000)  4 Cd 3.60, 8 Nd 3.64
Nd (0.0000, 0.0000, 0.5000)  4 Nd 3.60, 4 Sr 3.64, 4 Cd 3.64
Nd (0.0000, 0.5000, 0.0000)  4 Nd 3.60, 4 Sr 3.64, 4 Cd 3.64
Cd (0.5000, 0.0000, 0.0000)  4 Sr 3.60, 8 Nd 3.64

Values from the calculation:
Magnetization: 0.00 μB/atom
Crystal system: tetragonal
Mass density: 6.023 Mg/m³

#x
An optimized crystal structure of SrNd2Cd, computed with GGA-PBE.

Unit cell a=3.7112 b=3.7112 c=12.6018 alpha=81.53 beta=81.53 gamma=60.00
With the nearest neighbours (Å) after each atom.
Sites, in units of the cell vectors:
Sr (0.0000, 0.0000, 0.0000)  2 Nd 3.70, 6 Sr 3.71
Nd (0.0993, 0.0993, 0.7022)  3 Cd 3.30
Nd (0.9007, 0.9007, 0.2978)  3 Cd 3.30
Cd (0.5000, 0.5000, 0.5000)  6 Nd 3.30

Values from the calculation:
Magnetization: 0.00 μB/atom
Crystal system: trigonal
Mass density: 5.477 Mg/m³

Least stable: #x

#w
An optimized crystal structure of SrNdTlCd, computed with GGA-PBE.

Unit cell a=5.6159 b=5.6159 c=5.6159 alpha=60.00 beta=60.00 gamma=60.00
With the nearest neighbours (Å) after each atom.
Sites, in units of the cell vectors:
Sr (0.0000, 0.0000, 0.0000)  4 Cd 3.44, 4 Tl 3.44
Tl (0.2500, 0.2500, 0.2500)  4 Sr 3.44, 4 Nd 3.44
Nd (0.5000, 0.5000, 0.5000)  4 Tl 3.44, 4 Cd 3.44
Cd (0.7500, 0.7500, 0.7500)  4 Sr 3.44, 4 Nd 3.44

Values from the calculation:
Magnetization: 0.00 μB/atom
Crystal system: cubic
Mass density: 7.275 Mg/m³

#x
An optimized crystal structure of SrNdTlCd, computed with GGA-PBE.

Unit cell a=3.9357 b=3.9357 c=8.1240 alpha=90.00 beta=90.00 gamma=90.00
With the nearest neighbours (Å) after each atom.
Sites, in units of the cell vectors:
Sr (0.0000, 0.0000, 0.8537)  4 Cd 3.52, 4 Tl 3.55, 4 Sr 3.94
Nd (0.0000, 0.0000, 0.3615)  4 Cd 3.34, 4 Tl 3.38
Tl (0.5000, 0.5000, 0.1250)  4 Nd 3.38, 4 Sr 3.55, 1 Cd 3.76
Cd (0.5000, 0.5000, 0.5878)  4 Nd 3.34, 4 Sr 3.52

Values from the calculation:
Magnetization: 0.00 μB/atom
Crystal system: tetragonal
Mass density: 7.240 Mg/m³

Least stable: #w

#w
An optimized crystal structure of SrNdZnCd, computed with GGA-PBE.

Unit cell a=3.8564 b=3.8564 c=7.8148 alpha=90.00 beta=90.00 gamma=90.00
With the nearest neighbours (Å) after each atom.
Sites, in units of the cell vectors:
Sr (0.0000, 0.0000, 0.8677)  4 Zn 3.44, 4 Cd 3.51, 1 Nd 3.69
Nd (0.0000, 0.0000, 0.3402)  4 Zn 3.16, 4 Cd 3.33
Zn (0.5000, 0.5000, 0.1353)  4 Nd 3.16, 4 Sr 3.44, 1 Cd 3.51
Cd (0.5000, 0.5000, 0.5848)  4 Nd 3.33, 4 Sr 3.51, 1 Zn 3.51

Values from the calculation:
Magnetization: 0.04 μB/atom
Crystal system: tetragonal
Mass density: 5.854 Mg/m³

#x
An optimized crystal structure of SrNdZnCd, computed with GGA-PBE.

Unit cell a=5.4653 b=5.4653 c=5.4653 alpha=60.00 beta=60.00 gamma=60.00
With the nearest neighbours (Å) after each atom.
Sites, in units of the cell vectors:
Sr (0.5000, 0.5000, 0.5000)  4 Zn 3.35, 4 Cd 3.35
Zn (0.2500, 0.2500, 0.2500)  4 Nd 3.35, 4 Sr 3.35
Nd (0.0000, 0.0000, 0.0000)  4 Cd 3.35, 4 Zn 3.35
Cd (0.7500, 0.7500, 0.7500)  4 Sr 3.35, 4 Nd 3.35

Values from the calculation:
Magnetization: 0.00 μB/atom
Crystal system: cubic
Mass density: 5.894 Mg/m³

Least stable: #x

#w
An optimized crystal structure of TbNd4Cd, computed with GGA-PBE.

Unit cell a=3.6862 b=3.6862 c=14.3616 alpha=90.00 beta=90.00 gamma=90.00
With the nearest neighbours (Å) after each atom.
Sites, in units of the cell vectors:
Tb (0.0000, 0.0000, 0.0000)  8 Nd 3.62, 4 Tb 3.69
Nd (0.5000, 0.5000, 0.1751)  4 Tb 3.62, 8 Nd 3.65-3.69
Nd (0.0000, 0.0000, 0.6465)  4 Cd 3.35, 8 Nd 3.65-3.69
Nd (0.0000, 0.0000, 0.3535)  4 Cd 3.35, 8 Nd 3.65-3.69
Nd (0.5000, 0.5000, 0.8249)  4 Tb 3.62, 8 Nd 3.65-3.69
Cd (0.5000, 0.5000, 0.5000)  8 Nd 3.35, 4 Cd 3.69

Values from the calculation:
Magnetization: 0.00 μB/atom
Crystal system: tetragonal
Mass density: 7.218 Mg/m³

#x
An optimized crystal structure of TbNd4Cd, computed with GGA-PBE.

Unit cell a=6.4424 b=9.1429 c=8.5206 alpha=113.17 beta=100.08 gamma=112.23
With the nearest neighbours (Å) after each atom.
Sites, in units of the cell vectors:
Tb (0.3376, 0.5876, 0.1752)  10 Nd 3.49-3.87
Tb (0.6624, 0.4124, 0.8248)  10 Nd 3.49-3.87
Nd (0.0434, 0.1677, 0.7633)  2 Cd 3.36-3.39, 4 Nd 3.41-3.69, 2 Tb 3.49-3.57
Nd (0.7574, 0.7113, 0.6182)  2 Cd 3.30-3.32, 5 Nd 3.41-3.63, 1 Tb 3.69
Nd (0.2199, 0.5956, 0.7633)  2 Cd 3.36-3.39, 4 Nd 3.41-3.69, 2 Tb 3.49-3.57
Nd (0.3608, 0.9069, 0.6182)  2 Cd 3.30-3.32, 5 Nd 3.41-3.63, 1 Tb 3.69
Nd (0.6392, 0.0931, 0.3818)  2 Cd 3.30-3.32, 5 Nd 3.41-3.63, 1 Tb 3.69
Nd (0.7801, 0.4044, 0.2367)  2 Cd 3.36-3.39, 4 Nd 3.41-3.69, 2 Tb 3.49-3.57
Nd (0.2426, 0.2887, 0.3818)  2 Cd 3.30-3.32, 5 Nd 3.41-3.63, 1 Tb 3.69
Nd (0.9566, 0.8323, 0.2367)  2 Cd 3.36-3.39, 4 Nd 3.41-3.69, 2 Tb 3.49-3.57
Cd (0.2510, 0.0010, 0.0021)  2 Cd 3.22, 8 Nd 3.30-3.39
Cd (0.7490, 0.9990, 0.9979)  2 Cd 3.22, 8 Nd 3.30-3.39

Values from the calculation:
Magnetization: 0.00 μB/atom
Crystal system: monoclinic
Mass density: 7.133 Mg/m³

Least stable: #x